CeMgInHg | the Alexandria database | GGA-PBE | relaxed; spin magnetization = 0.9 μB/f.u.; SG = F-43m (216); V = 100.9 Å³ per cell; E_tot = -12.0 eV/cell
1.0
0.000 3.695 3.695
3.695 0.000 3.695
3.695 3.695 0.000
Ce Mg In Hg
1 1 1 1
Direct
0.000 0.000 0.000 Ce
0.500 0.500 0.500 Mg
0.250 0.250 0.250 In
0.750 0.750 0.750 Hg

Pr3MnTl4Te8 | the Alexandria database | GGA-PBE | relaxed; spin magnetization = 4.4 μB/f.u.; SG = R-3m (166); energy relative to the elements, uncorrected = -0.815 eV/atom; V = 567.5 Å³ per cell
1.0
4.514 2.606 8.040
-4.514 2.606 8.040
0.000 -5.212 8.040
Pr Mn Tl Te
3 1 4 8
Direct
0.000 0.500 0.500 Pr
0.500 0.000 0.500 Pr
0.500 0.500 0.000 Pr
0.000 0.000 0.000 Mn
0.000 0.000 0.500 Tl
0.000 0.500 0.000 Tl
0.500 0.000 0.000 Tl
0.500 0.500 0.500 Tl
0.226 0.226 0.761 Te
0.226 0.761 0.226 Te
0.239 0.774 0.774 Te
0.257 0.257 0.257 Te
0.743 0.743 0.743 Te
0.761 0.226 0.226 Te
0.774 0.239 0.774 Te
0.774 0.774 0.239 Te

MoPCl9 | the Alexandria database | GGA-PBE | relaxed; spin magnetization = 2.0 μB/f.u.; SG = P-1 (2); energy relative to the elements, uncorrected = -0.725 eV/atom; V = 729.1 Å³ per cell
1.0
7.890 0.000 0.000
-0.007 9.406 0.000
-2.240 -1.912 9.825
Mo P Cl
2 2 18
Direct
0.132 0.145 0.138 Mo
0.868 0.855 0.862 Mo
0.440 0.321 0.719 P
0.560 0.679 0.281 P
0.065 0.326 0.313 Cl
0.074 0.305 0.987 Cl
0.168 0.973 0.283 Cl
0.176 0.951 0.945 Cl
0.258 0.465 0.726 Cl
0.350 0.583 0.306 Cl
0.352 0.162 0.564 Cl
0.431 0.204 0.199 Cl
0.493 0.249 0.890 Cl
0.507 0.751 0.110 Cl
0.569 0.796 0.801 Cl
0.648 0.838 0.436 Cl
0.650 0.417 0.694 Cl
0.742 0.535 0.274 Cl
0.824 0.049 0.055 Cl
0.832 0.027 0.717 Cl
0.926 0.695 0.013 Cl
0.935 0.674 0.687 Cl

Fe3Co | the Alexandria database | GGA-PBE | relaxed; spin magnetization = 0.2 μB/f.u.; SG = Pnma (62); V = 167.0 Å³ per cell; E_tot = -127.6 eV/cell
1.0
4.241 0.000 0.000
0.000 8.004 0.000
0.000 0.000 4.920
Fe Co
12 4
Direct
0.085 0.250 0.121 Fe
0.249 0.501 0.872 Fe
0.249 0.999 0.872 Fe
0.251 0.001 0.372 Fe
0.251 0.499 0.372 Fe
0.415 0.750 0.621 Fe
0.585 0.250 0.379 Fe
0.749 0.501 0.628 Fe
0.749 0.999 0.628 Fe
0.751 0.001 0.128 Fe
0.751 0.499 0.128 Fe
0.915 0.750 0.879 Fe
0.085 0.250 0.624 Co
0.415 0.750 0.124 Co
0.585 0.250 0.876 Co
0.915 0.750 0.376 Co

LaTlInPb | the Alexandria database | GGA-PBE | relaxed; spin magnetization = 0.0 μB/f.u.; SG = Pmmm (47); V = 116.0 Å³ per cell; E_tot = -15.5 eV/cell
1.0
4.767 0.000 0.000
0.000 4.814 0.000
0.000 0.000 5.054
La Tl In Pb
1 1 1 1
Direct
0.000 0.000 0.000 La
0.500 0.000 0.500 Tl
0.000 0.500 0.500 In
0.500 0.500 0.000 Pb

PmPa2Si2N6 | the Alexandria database | GGA-PBE | relaxed; spin magnetization = 0.0 μB/f.u.; SG = P-3 (147); energy relative to the elements, uncorrected = -0.982 eV/atom; V = 184.4 Å³ per cell
1.0
5.980 0.000 0.000
-2.990 5.179 0.000
0.000 0.000 5.953
Pm Pa Si N
1 2 2 6
Direct
0.000 0.000 0.000 Pm
0.333 0.667 0.860 Pa
0.667 0.333 0.140 Pa
0.333 0.667 0.329 Si
0.667 0.333 0.671 Si
0.067 0.399 0.190 N
0.332 0.933 0.190 N
0.399 0.332 0.810 N
0.601 0.668 0.190 N
0.668 0.067 0.810 N
0.933 0.601 0.810 N

BaHfZr2Tl | the Alexandria database | GGA-PBE | relaxed; spin magnetization = 0.0 μB/f.u.; SG = P4/mmm (123); V = 162.2 Å³ per cell; E_tot = -21.9 eV/cell
1.0
5.287 0.000 0.000
0.000 5.287 0.000
0.000 0.000 5.802
Ba Hf Zr Tl
1 1 2 1
Direct
0.000 0.000 0.000 Ba
0.500 0.500 0.500 Hf
0.000 0.500 0.000 Zr
0.500 0.000 0.000 Zr
0.000 0.000 0.500 Tl

La2ZnCoSn | the Alexandria database | GGA-PBE | relaxed; spin magnetization = 0.0 μB/f.u.; SG = P4/mmm (123); V = 129.4 Å³ per cell; E_tot = -24.2 eV/cell
1.0
5.228 0.000 0.000
0.000 5.228 0.000
0.000 0.000 4.736
La Zn Co Sn
2 1 1 1
Direct
0.000 0.500 0.000 La
0.500 0.000 0.000 La
0.000 0.000 0.500 Zn
0.000 0.000 0.000 Co
0.500 0.500 0.500 Sn

PmMg2Ga2Cu | the Alexandria database | GGA-PBE | relaxed; spin magnetization = 0.0 μB/f.u.; SG = I4/mmm (139); V = 144.2 Å³ per cell; E_tot = -17.5 eV/cell
1.0
-2.576 2.576 5.432
2.576 -2.576 5.432
2.576 2.576 -5.432
Pm Mg Ga Cu
1 2 2 1
Direct
0.000 0.000 0.000 Pm
0.250 0.750 0.500 Mg
0.750 0.250 0.500 Mg
0.290 0.290 0.000 Ga
0.710 0.710 0.000 Ga
0.500 0.500 0.000 Cu

TlMoPOsRu | the Alexandria database | GGA-PBE | relaxed; spin magnetization = 0.0 μB/f.u.; SG = P1 (1); V = 82.3 Å³ per cell; E_tot = -38.3 eV/cell
1.0
2.915 0.000 0.000
-1.383 5.183 0.000
-0.159 -0.208 5.451
Tl Mo P Os Ru
1 1 1 1 1
Direct
0.000 0.000 0.000 Tl
0.658 0.219 0.454 Mo
0.295 0.485 0.732 P
0.917 0.763 0.515 Os
0.294 0.532 0.165 Ru

Ti2NCl | the Alexandria database | GGA-PBE | relaxed; spin magnetization = 0.0 μB/f.u.; SG = Fm-3m (225); energy relative to the elements, uncorrected = -0.401 eV/atom; V = 47.3 Å³ per cell
1.0
0.000 2.870 2.870
2.870 0.000 2.870
2.870 2.870 0.000
Ti N Cl
2 1 1
Direct
0.250 0.250 0.250 Ti
0.750 0.750 0.750 Ti
0.000 0.000 0.000 N
0.500 0.500 0.500 Cl

AsPSeN2 | the Alexandria database | GGA-PBE | relaxed; spin magnetization = 0.6 μB/f.u.; SG = P4/mmm (123); energy relative to the elements, uncorrected = 0.965 eV/atom; V = 94.8 Å³ per cell
1.0
3.472 0.000 0.000
0.000 3.472 0.000
0.000 0.000 7.862
As P Se N
1 1 1 2
Direct
0.000 0.000 0.000 As
0.500 0.500 0.500 P
0.500 0.500 0.000 Se
0.000 0.500 0.500 N
0.500 0.000 0.500 N